YMgTe2 (PBE, optimized geometry); energy relative to the lowest polymorph listed for this composition = 223.6 meV/atom; total energy = -4.434 eV/atom
1.0
3.8472 0.0000 0.0000
0.0000 4.9819 0.0000
0.0000 0.0000 5.6072
Y Mg Te
1 1 2
Direct
0.0000 0.0000 0.0000
0.0000 0.5000 0.5000
0.5000 0.0000 0.5000
0.5000 0.5000 0.0000